{"formula": "KSr2Re2", "functional": "PBE", "state": "relaxed", "lattice": [[9.4702, 0.0000, 0.0000], [0.0000, 9.4702, 0.0000], [0.0000, 0.0000, 3.3336]], "species": ["K", "K", "Sr", "Sr", "Sr", "Sr", "Re", "Re", "Re", "Re"], "frac_coords": [[0.0000, 0.0000, 0.0000], [0.5000, 0.5000, 0.0000], [0.1902, 0.3098, 0.5000], [0.3098, 0.8098, 0.5000], [0.6902, 0.1902, 0.5000], [0.8098, 0.6902, 0.5000], [0.0836, 0.5836, 0.0000], [0.4164, 0.0836, 0.0000], [0.5836, 0.9164, 0.0000], [0.9164, 0.4164, 0.0000]], "magmom_total_mub_per_fu": 0.00, "e_above_lowest_polymorph_mev_per_atom": 0, "delta_e_f_ev_per_fu": 5.0}